(1)
The following is a PBE calculation of an optimized crystal structure of LiCr2Hg, from Alexandria via LeMat-Bulk.

Computed properties:
The value obtained for the magnetic moment is 0.0 μB per cell. For the calculated volume, the calculation gives 13.6 Å³/atom. As for the energy of formation: 0.4247 eV/atom. Its crystal system is tetragonal.

Lattice parameters (Å, degrees): 3.466 3.466 4.516 90.00 90.00 90.00
Space group P4/mmm (No. 123)
Inequivalent atoms, fractional coordinates:
Li 0.000 0.000 0.000
Cr 0.000 0.500 0.500
Hg 0.500 0.500 0.000

***

(2)
The following is a PBE calculation of an optimized crystal structure of Li2CrHg, from Alexandria via LeMat-Bulk.

Computed properties:
The value obtained for the magnetic moment is 4.0 μB per cell. For the calculated volume, the calculation gives 18.0 Å³/atom. As for the energy of formation: 0.1900 eV/atom. Its crystal system is monoclinic.

Lattice parameters (Å, degrees): 3.049 4.779 4.963 90.00 94.85 90.00
Space group P2/m (No. 10)
Inequivalent atoms, fractional coordinates:
Li 0.236 0.000 0.250
Cr 0.500 0.500 0.000
Hg 0.000 0.500 0.500

***

(3)
The following is a PBE calculation of an optimized crystal structure of LiCr2Hg, from Alexandria via LeMat-Bulk.

Computed properties:
The value obtained for the magnetic moment is 23.8 μB per cell. For the calculated volume, the calculation gives 18.8 Å³/atom. As for the energy of formation: 0.7345 eV/atom. Its crystal system is trigonal.

Lattice parameters (Å, degrees): 3.0546 3.0546 27.8750 90.00 90.00 120.00
Space group R-3m (No. 166, hexagonal axes)
Inequivalent atoms, fractional coordinates:
Li 0.0000 0.0000 0.0000
Cr 0.0000 0.0000 0.2492
Hg 0.0000 0.0000 0.5000

***

(4)
The following is a PBE calculation of an optimized crystal structure of Li2CrHg, from Alexandria via LeMat-Bulk.

Computed properties:
The value obtained for the magnetic moment is 4.3 μB per cell. For the calculated volume, the calculation gives 17.8 Å³/atom. As for the energy of formation: 0.1844 eV/atom. Its crystal system is orthorhombic.

Lattice parameters (Å, degrees): 3.184 3.872 5.766 90.00 90.00 90.00
Space group Pmmm (No. 47)
Inequivalent atoms, fractional coordinates:
Li 0.000 0.000 0.245
Cr 0.500 0.500 0.500
Hg 0.500 0.500 0.000

***

(5)
The following is a PBE calculation of an optimized crystal structure of LiCr2Hg, from Alexandria via LeMat-Bulk.

Computed properties:
The value obtained for the magnetic moment is 0.0 μB per cell. For the calculated volume, the calculation gives 14.7 Å³/atom. As for the energy of formation: 0.6976 eV/atom. Its crystal system is tetragonal.

Lattice parameters (Å, degrees): 3.442 3.442 19.845 90.00 90.00 90.00
Space group I-42d (No. 122)
Inequivalent atoms, fractional coordinates:
Li 0.000 0.000 0.000
Cr 0.208 0.250 0.125
Hg 0.000 0.000 0.500

***

(6)
The following is a PBE calculation of an optimized crystal structure of Li2CrHg, from Alexandria via LeMat-Bulk.

Computed properties:
The value obtained for the magnetic moment is 18.0 μB per cell. For the calculated volume, the calculation gives 19.1 Å³/atom. As for the energy of formation: 0.2939 eV/atom. Its crystal system is tetragonal.

Lattice parameters (Å, degrees): 7.398 7.398 5.580 90.00 90.00 90.00
Space group I-42d (No. 122)
Inequivalent atoms, fractional coordinates:
Li 0.238 0.250 0.125
Cr 0.000 0.000 0.500
Hg 0.000 0.000 0.000